[1]
Computed, not measured: crystalline Nb2Pt3Rh4 at its relaxed geometry at the PBE level of DFT.

Values from the calculation:
Fermi-level density of states (states/eV/f.u.): 8.026
Formation enthalpy at 0 K (meV/atom): -481.3
Calculated total energy (eV/atom): -8.000

Cell lengths 4.814, 4.814, 8.335 Å; angles 106.16, 106.16, 48.76 degrees
Element x y z (fractional)
Nb1 0.171 0.171 0.219
Nb2 0.829 0.829 0.781
Pt1 0.166 0.166 0.553
Pt2 0.500 0.500 0.000
Pt3 0.834 0.834 0.447
Rh1 0.166 0.166 0.890
Rh2 0.496 0.496 0.331
Rh3 0.504 0.504 0.669
Rh4 0.834 0.834 0.110

***

[2]
Computed, not measured: crystalline NbPt12Rh4 at its relaxed geometry at the PBE level of DFT.

Values from the calculation:
Fermi-level density of states (states/eV/f.u.): 32.186
Formation enthalpy at 0 K (meV/atom): 170.0
Calculated total energy (eV/atom): -6.416

Cell lengths 7.145, 7.145, 7.145 Å; angles 109.47, 109.47, 109.47 degrees
Element x y z (fractional)
Nb1 0.000 0.000 0.000
Pt1 0.000 0.298 0.298
Pt2 0.000 0.702 0.702
Pt3 0.250 0.500 0.750
Pt4 0.250 0.750 0.500
Pt5 0.298 0.000 0.298
Pt6 0.298 0.298 0.000
Pt7 0.500 0.250 0.750
Pt8 0.500 0.750 0.250
Pt9 0.702 0.000 0.702
Pt10 0.702 0.702 0.000
Pt11 0.750 0.250 0.500
Pt12 0.750 0.500 0.250
Rh1 0.000 0.000 0.500
Rh2 0.000 0.500 0.000
Rh3 0.500 0.000 0.000
Rh4 0.500 0.500 0.500

***

[3]
Computed, not measured: crystalline NbPt3Rh4 at its relaxed geometry at the PBE level of DFT.

Values from the calculation:
Fermi-level density of states (states/eV/f.u.): 9.823
Formation enthalpy at 0 K (meV/atom): -41.5
Calculated total energy (eV/atom): -7.241

Cell lengths 7.009, 7.009, 7.009 Å; angles 157.35, 105.06, 79.47 degrees
Element x y z (fractional)
Nb1 0.000 0.000 0.000
Pt1 0.213 0.713 0.500
Pt2 0.500 0.500 0.000
Pt3 0.787 0.287 0.500
Rh1 0.139 0.875 0.264
Rh2 0.388 0.125 0.264
Rh3 0.612 0.875 0.736
Rh4 0.861 0.125 0.736